No. 1
This record from Alexandria describes crystalline MgSnPb2Se5 at its relaxed geometry. The functional is PBE.

a = 4.0702 Å, b = 9.8115 Å, c = 13.0937 Å
α = 90.00°, β = 90.00°, γ = 101.97°
Last column: nearest neighbours and their distance in Å.
Fractional coordinates of all 18 atoms:
Mg1 0.8001 0.6002 0.5269  5 Se 2.66-2.82
Mg2 0.1999 0.3998 0.0269  5 Se 2.66-2.82
Sn1 0.5508 0.1016 0.9252  4 Se 2.52-2.62
Sn2 0.4492 0.8984 0.4252  4 Se 2.52-2.62
Pb1 0.8618 0.7236 0.8250  6 Se 3.07-3.20
Pb2 0.1505 0.3009 0.6682  3 Se 2.87-2.91
Pb3 0.1382 0.2764 0.3250  6 Se 3.07-3.20
Pb4 0.8495 0.6991 0.1682  3 Se 2.87-2.91
Se1 0.3379 0.6758 0.0101  1 Mg 2.66, 2 Pb 2.91
Se2 0.6804 0.3609 0.8804  1 Sn 2.56, 2 Mg 2.82
Se3 0.4750 0.9500 0.7684  1 Sn 2.52
Se4 0.2998 0.5995 0.6696  2 Mg 2.76, 1 Pb 2.87
Se5 0.9628 0.9255 0.5502  2 Sn 2.62
Se6 0.6621 0.3242 0.5101  1 Mg 2.66, 2 Pb 2.91
Se7 0.3196 0.6391 0.3804  1 Sn 2.56, 2 Mg 2.82
Se8 0.5250 0.0500 0.2684  1 Sn 2.52
Se9 0.7002 0.4005 0.1696  2 Mg 2.76, 1 Pb 2.87
Se10 0.0372 0.0745 0.0502  2 Sn 2.62

Output
- total moment (μB per formula unit) = 0.0
- formation energy (no corrections) (eV/atom) = -0.610

---

No. 2
This record from Alexandria describes crystalline LiVPS2 at its relaxed geometry. The functional is PBE.

a = 4.5877 Å, b = 4.5877 Å, c = 4.6043 Å
α = 90.00°, β = 90.00°, γ = 90.00°
Last column: nearest neighbours and their distance in Å.
Fractional coordinates of all 5 atoms:
P1 0.0000 0.0000 0.5000  2 V 2.30
S1 0.0000 0.5000 0.0000  2 V 2.29
S2 0.5000 0.0000 0.0000  2 V 2.29
Li1 0.5000 0.5000 0.5000  4 P 3.24, 8 S 3.25
V1 0.0000 0.0000 0.0000  4 S 2.29, 2 P 2.30

Output
- energy above the lowest structure with this stoichiometry (meV/atom) = 0
- total moment (μB per formula unit) = 0.0
- formation energy (no corrections) (eV/atom) = -0.275

---

No. 3
This record from Alexandria describes crystalline Pr8HRu3I4 at its relaxed geometry. The functional is PBE.

a = 8.2410 Å, b = 9.5323 Å, c = 8.2511 Å
α = 115.72°, β = 119.96°, γ = 90.00°
Last column: nearest neighbours and their distance in Å.
Fractional coordinates of all 16 atoms:
Pr1 0.2298 0.6843 0.9546  2 Ru 2.81-2.82, 1 H 2.84
Pr2 0.2296 0.6843 0.4591  2 Ru 2.82, 1 H 2.84
Pr3 0.2695 0.3083 0.5390  3 Ru 2.86
Pr4 0.7248 0.6843 0.9546  2 Ru 2.81-2.82, 1 H 2.84
Pr5 0.2752 0.3157 0.0454  2 Ru 2.81-2.82, 1 H 2.84
Pr6 0.7305 0.6917 0.4610  3 Ru 2.86
Pr7 0.7704 0.3157 0.5409  2 Ru 2.82, 1 H 2.84
Pr8 0.7702 0.3157 0.0454  2 Ru 2.81-2.82, 1 H 2.84
H1 0.0000 0.5000 0.0000  6 Pr 2.84
Ru1 0.5000 0.5000 0.0000  6 Pr 2.81-2.86
Ru2 0.5000 0.5000 0.5000  6 Pr 2.82-2.86
Ru3 0.0000 0.5000 0.5000  6 Pr 2.82-2.86
I1 0.5000 0.0000 0.0000  6 Pr 3.51
I2 0.5000 0.0000 0.5000  6 Pr 3.48-3.54
I3 0.0000 0.0000 0.0000  6 Pr 3.48-3.54
I4 0.0000 0.0000 0.5000  6 Pr 3.48-3.54

Output
- total moment (μB per formula unit) = 0.0
- electronic total energy (eV/atom) = -5.374

---

No. 4
This record from Alexandria describes crystalline LiTm2Sn3Te6 at its relaxed geometry. The functional is PBE.

a = 4.3846 Å, b = 9.0399 Å, c = 10.0159 Å
α = 104.76°, β = 102.64°, γ = 90.00°
Last column: nearest neighbours and their distance in Å.
Fractional coordinates of all 12 atoms:
Li1 0.5000 0.0000 0.0000  6 Te 3.08-3.17
Tm1 0.8346 0.6628 0.6693  6 Te 3.02-3.10
Tm2 0.1654 0.3372 0.3307  6 Te 3.02-3.10
Sn1 0.5000 0.5000 0.0000  6 Te 3.22
Sn2 0.8395 0.1565 0.6791  6 Te 3.13-3.29
Sn3 0.1605 0.8435 0.3209  6 Te 3.13-3.29
Te1 0.3320 0.8998 0.6639  2 Tm 3.08, 3 Sn 3.17-3.26, 1 Li 3.17
Te2 0.6706 0.5788 0.3412  3 Tm 3.08-3.10, 3 Sn 3.22-3.29
Te3 0.6680 0.1002 0.3361  2 Tm 3.08, 3 Sn 3.17-3.26, 1 Li 3.17
Te4 0.0053 0.2426 0.0106  1 Tm 3.02, 2 Li 3.08, 3 Sn 3.13-3.22
Te5 0.9947 0.7574 0.9894  1 Tm 3.02, 2 Li 3.08, 3 Sn 3.13-3.22
Te6 0.3294 0.4212 0.6588  3 Tm 3.08-3.10, 3 Sn 3.22-3.29

Output
- total moment (μB per formula unit) = 0.0
- formation energy (no corrections) (eV/atom) = -0.698

---

No. 5
This record from Alexandria describes crystalline PrSm2Cd2 at its relaxed geometry. The functional is PBE.

a = 3.8227 Å, b = 5.5209 Å, c = 14.1592 Å
α = 90.00°, β = 97.80°, γ = 90.00°
Last column: nearest neighbours and their distance in Å.
Fractional coordinates of all 10 atoms:
Pr1 0.8512 0.7500 0.7052  6 Cd 3.36, 2 Sm 3.72
Pr2 0.1488 0.2500 0.2948  6 Cd 3.36, 2 Sm 3.72
Sm1 0.0466 0.7500 0.0928  8 Cd 3.28-3.36
Sm2 0.9534 0.2500 0.9072  8 Cd 3.28-3.36
Sm3 0.2357 0.7500 0.4729  2 Cd 3.27-3.28, 4 Sm 3.44-3.45
Sm4 0.7643 0.2500 0.5271  2 Cd 3.27-3.28, 4 Sm 3.44-3.45
Cd1 0.6418 0.7500 0.2832  4 Sm 3.27-3.29, 4 Pr 3.36
Cd2 0.3582 0.2500 0.7168  4 Sm 3.27-3.29, 4 Pr 3.36
Cd3 0.4504 0.7500 0.9023  6 Sm 3.28-3.36, 2 Pr 3.36
Cd4 0.5496 0.2500 0.0977  6 Sm 3.28-3.36, 2 Pr 3.36

Output
- ΔH_f (0 K) (meV/atom) = -253.0
- total moment (μB per formula unit) = 0.0

---

No. 6
This record from Alexandria describes crystalline PdSO3 at its relaxed geometry. The functional is PBE.

a = 3.8961 Å, b = 3.8961 Å, c = 3.8961 Å
α = 90.00°, β = 90.00°, γ = 90.00°
Last column: nearest neighbours and their distance in Å.
Fractional coordinates of all 5 atoms:
S1 0.5000 0.5000 0.5000  12 O 2.75
O1 0.0000 0.5000 0.0000  2 Pd 1.95
O2 0.0000 0.0000 0.5000  2 Pd 1.95
O3 0.5000 0.0000 0.0000  2 Pd 1.95
Pd1 0.0000 0.0000 0.0000  6 O 1.95

Output
- total moment (μB per formula unit) = 0.0
- formation energy (no corrections) (eV/atom) = 0.664

---

No. 7
This record from Alexandria describes crystalline LiCa2TeS at its relaxed geometry. The functional is PBE.

a = 5.4400 Å, b = 4.4714 Å, c = 5.4400 Å
α = 90.00°, β = 90.00°, γ = 90.00°
Last column: nearest neighbours and their distance in Å.
Fractional coordinates of all 5 atoms:
Ca1 0.0000 0.0000 0.5000  2 S 2.72
Ca2 0.5000 0.0000 0.0000  2 S 2.72
Te1 0.5000 0.5000 0.5000  8 Ca 3.52, 4 Li 3.85
S1 0.0000 0.0000 0.0000  2 Li 2.24
Li1 0.0000 0.5000 0.0000  2 S 2.24

Output
- total moment (μB per formula unit) = 0.7
- formation energy (no corrections) (eV/atom) = -1.264

---

No. 8
This record from Alexandria describes crystalline Tm4Zn3Sn at its relaxed geometry. The functional is PBE.

a = 5.0311 Å, b = 7.1846 Å, c = 10.0649 Å
α = 90.00°, β = 90.00°, γ = 90.00°
Last column: nearest neighbours and their distance in Å.
Fractional coordinates of all 16 atoms:
Zn1 0.0000 0.0000 0.0000  8 Tm 3.05
Zn2 0.0000 0.0000 0.5000  8 Tm 3.05
Zn3 0.5006 0.0000 0.7500  8 Tm 3.05
Zn4 0.4994 0.0000 0.2500  8 Tm 3.05
Zn5 0.5003 0.5000 0.7500  8 Tm 3.14
Zn6 0.4997 0.5000 0.2500  8 Tm 3.14
Tm1 0.5000 0.7605 0.0000  6 Zn 3.05-3.14, 2 Sn 3.14
Tm2 0.5000 0.7605 0.5000  6 Zn 3.05-3.14, 2 Sn 3.14
Tm3 0.5000 0.2395 0.0000  6 Zn 3.05-3.14, 2 Sn 3.14
Tm4 0.5000 0.2395 0.5000  6 Zn 3.05-3.14, 2 Sn 3.14
Tm5 0.0004 0.7605 0.7500  6 Zn 3.05-3.14, 2 Sn 3.14
Tm6 0.9996 0.7605 0.2500  6 Zn 3.05-3.14, 2 Sn 3.14
Tm7 0.9996 0.2395 0.2500  6 Zn 3.05-3.14, 2 Sn 3.14
Tm8 0.0004 0.2395 0.7500  6 Zn 3.05-3.14, 2 Sn 3.14
Sn1 0.0000 0.5000 0.0000  8 Tm 3.14
Sn2 0.0000 0.5000 0.5000  8 Tm 3.14

Output
- ΔH_f (0 K) (meV/atom) = -421.0
- total moment (μB per formula unit) = 0.0

---

No. 9
This record from Alexandria describes crystalline BaSb2PdI at its relaxed geometry. The functional is PBE.

a = 5.2849 Å, b = 5.2849 Å, c = 5.8978 Å
α = 90.00°, β = 90.00°, γ = 90.00°
Last column: nearest neighbours and their distance in Å.
Fractional coordinates of all 5 atoms:
I1 0.0000 0.0000 0.5000  2 Pd 2.95
Sb1 0.0000 0.5000 0.0000  2 Pd 2.64
Sb2 0.5000 0.0000 0.0000  2 Pd 2.64
Ba1 0.5000 0.5000 0.5000  4 I 3.74, 8 Sb 3.96
Pd1 0.0000 0.0000 0.0000  4 Sb 2.64, 2 I 2.95

Output
- energy above the lowest structure with this stoichiometry (meV/atom) = 0
- total moment (μB per formula unit) = 0.0
- formation energy (no corrections) (eV/atom) = -0.433

---

No. 10
This record from Alexandria describes crystalline Tc2Rh2W at its relaxed geometry. The functional is PBE.

a = 3.4821 Å, b = 3.4821 Å, c = 7.0035 Å
α = 75.61°, β = 75.61°, γ = 90.00°
Last column: nearest neighbours and their distance in Å.
Fractional coordinates of all 5 atoms:
Rh1 0.4047 0.4047 0.1906  1 Rh 2.50, 4 Tc 2.67, 4 W 2.76
Rh2 0.5953 0.5953 0.8094  1 Rh 2.50, 4 Tc 2.67, 4 W 2.76
Tc1 0.7500 0.2500 0.5000  4 Tc 2.46, 4 Rh 2.67
Tc2 0.2500 0.7500 0.5000  4 Tc 2.46, 4 Rh 2.67
W1 0.0000 0.0000 0.0000  8 Rh 2.76

Output
- energy above the lowest structure with this stoichiometry (meV/atom) = 245
- ΔH_f (0 K) (meV/atom) = 442.4
- total moment (μB per formula unit) = 0.0

---

No. 11
This record from Alexandria describes crystalline Ac2SmTl5 at its relaxed geometry. The functional is PBE.

a = 5.7179 Å, b = 5.7179 Å, c = 8.7908 Å
α = 108.98°, β = 108.98°, γ = 90.00°
Last column: nearest neighbours and their distance in Å.
Fractional coordinates of all 8 atoms:
Ac1 0.7406 0.7406 0.4812  9 Tl 3.50-3.76
Ac2 0.2594 0.2594 0.5188  9 Tl 3.50-3.76
Sm1 0.0000 0.0000 0.0000  8 Tl 3.35
Tl1 0.5000 0.5000 0.0000  8 Tl 3.35
Tl2 0.8882 0.3882 0.7764  3 Tl 3.35-3.49, 2 Sm 3.35, 4 Ac 3.50-3.67
Tl3 0.3882 0.8882 0.7764  3 Tl 3.35-3.49, 2 Sm 3.35, 4 Ac 3.50-3.67
Tl4 0.1118 0.6118 0.2236  2 Sm 3.35, 3 Tl 3.35-3.49, 4 Ac 3.50-3.67
Tl5 0.6118 0.1118 0.2236  3 Tl 3.35-3.49, 2 Sm 3.35, 4 Ac 3.50-3.67

Output
- ΔH_f (0 K) (meV/atom) = -261.1
- total moment (μB per formula unit) = 0.0

---

No. 12
This record from Alexandria describes crystalline NaTh4Se5 at its relaxed geometry. The functional is PBE.

a = 4.1992 Å, b = 4.1992 Å, c = 15.1027 Å
α = 97.99°, β = 97.99°, γ = 90.00°
Last column: nearest neighbours and their distance in Å.
Fractional coordinates of all 10 atoms:
Na1 0.0000 0.0000 0.0000  6 Se 2.85-2.97
Th1 0.3997 0.3997 0.7995  6 Se 2.97-2.99
Th2 0.8019 0.8019 0.6037  6 Se 2.97-3.02
Th3 0.1981 0.1981 0.3963  6 Se 2.97-3.02
Th4 0.6003 0.6003 0.2005  6 Se 2.97-2.99
Se1 0.0963 0.0963 0.1926  1 Na 2.85, 5 Th 2.97-3.02
Se2 0.5000 0.5000 0.0000  2 Th 2.97, 4 Na 2.97
Se3 0.9037 0.9037 0.8074  1 Na 2.85, 5 Th 2.97-3.02
Se4 0.2987 0.2987 0.5974  6 Th 2.97-2.99
Se5 0.7013 0.7013 0.4026  6 Th 2.97-2.99

Output
- total moment (μB per formula unit) = 0.0
- formation energy (no corrections) (eV/atom) = -1.524